The following is a PBE calculation of an optimized crystal structure of Ac3PmTl, from the Alexandria database. Values from VASP.

Results
The value obtained for the magnetic moment is 0.000 μB per cell. Its space group is P2_1/m (11). For the formation energy, the calculation gives 0.03 eV/atom.

Geometry as Quantum ESPRESSO input:
```
&SYSTEM
  ibrav = 0, nat = 10, ntyp = 3
/
ATOMIC_SPECIES
Ac 227.00 Ac.upf
Pm 145.00 Pm.upf
Tl 204.38 Tl.upf
ATOMIC_POSITIONS crystal
Ac 0.1412 0.0144 0.2776
Ac 0.1412 0.4856 0.2776
Ac 0.2986 0.2500 0.5954
Ac 0.7014 0.7500 0.4046
Ac 0.8588 0.5144 0.7224
Ac 0.8588 0.9856 0.7224
Pm 0.0137 0.7500 0.0352
Pm 0.9863 0.2500 0.9648
Tl 0.3664 0.7500 0.7384
Tl 0.6336 0.2500 0.2616
CELL_PARAMETERS angstrom
3.9690 0.0000 0.0000
0.0000 12.3780 0.0000
-1.9698 0.0000 8.4740
```

---

The following is a PBE calculation of an optimized crystal structure of AcPm15Tl4, from the Alexandria database. Values from VASP.

Results
The value obtained for the magnetic moment is 0.002 μB per cell. Its space group is P4/mmm (123). For the formation energy, the calculation gives -0.14 eV/atom.

Geometry as Quantum ESPRESSO input:
```
&SYSTEM
  ibrav = 0, nat = 20, ntyp = 3
/
ATOMIC_SPECIES
Ac 227.00 Ac.upf
Pm 145.00 Pm.upf
Tl 204.38 Tl.upf
ATOMIC_POSITIONS crystal
Ac 0.0000 0.0000 0.0000
Pm 0.0000 0.5000 0.1093
Pm 0.0000 0.5000 0.3051
Pm 0.0000 0.5000 0.5000
Pm 0.0000 0.5000 0.6949
Pm 0.0000 0.5000 0.8907
Pm 0.5000 0.0000 0.1093
Pm 0.5000 0.0000 0.3051
Pm 0.5000 0.0000 0.5000
Pm 0.5000 0.0000 0.6949
Pm 0.5000 0.0000 0.8907
Pm 0.5000 0.5000 0.0000
Pm 0.5000 0.5000 0.2087
Pm 0.5000 0.5000 0.4023
Pm 0.5000 0.5000 0.5977
Pm 0.5000 0.5000 0.7913
Tl 0.0000 0.0000 0.2082
Tl 0.0000 0.0000 0.4029
Tl 0.0000 0.0000 0.5971
Tl 0.0000 0.0000 0.7918
CELL_PARAMETERS angstrom
4.9844 0.0000 0.0000
0.0000 4.9844 0.0000
0.0000 0.0000 25.5299
```

---

The following is a PBE calculation of an optimized crystal structure of Ac3Pm2Tl2, from the Alexandria database. Values from VASP.

Results
The value obtained for the magnetic moment is 0.028 μB per cell. Its space group is Cmmm (65). For the formation energy, the calculation gives -0.08 eV/atom.

Geometry as Quantum ESPRESSO input:
```
&SYSTEM
  ibrav = 0, nat = 7, ntyp = 3
/
ATOMIC_SPECIES
Ac 227.00 Ac.upf
Pm 145.00 Pm.upf
Tl 204.38 Tl.upf
ATOMIC_POSITIONS crystal
Ac 0.0000 0.0000 0.0000
Ac 0.1455 0.8545 0.0000
Ac 0.8545 0.1455 0.0000
Pm 0.2843 0.7157 0.5000
Pm 0.7157 0.2843 0.5000
Tl 0.4246 0.5754 0.5000
Tl 0.5754 0.4246 0.5000
CELL_PARAMETERS angstrom
2.5888 -12.8087 0.0000
2.5888 12.8087 0.0000
0.0000 0.0000 3.8002
```

---

Please write out number 3 again, unchanged.
The following is a PBE calculation of an optimized crystal structure of Ac3Pm2Tl2, from the Alexandria database. Values from VASP.

Results
The value obtained for the magnetic moment is 0.028 μB per cell. Its space group is Cmmm (65). For the formation energy, the calculation gives -0.08 eV/atom.

Geometry as Quantum ESPRESSO input:
```
&SYSTEM
  ibrav = 0, nat = 7, ntyp = 3
/
ATOMIC_SPECIES
Ac 227.00 Ac.upf
Pm 145.00 Pm.upf
Tl 204.38 Tl.upf
ATOMIC_POSITIONS crystal
Ac 0.0000 0.0000 0.0000
Ac 0.1455 0.8545 0.0000
Ac 0.8545 0.1455 0.0000
Pm 0.2843 0.7157 0.5000
Pm 0.7157 0.2843 0.5000
Tl 0.4246 0.5754 0.5000
Tl 0.5754 0.4246 0.5000
CELL_PARAMETERS angstrom
2.5888 -12.8087 0.0000
2.5888 12.8087 0.0000
0.0000 0.0000 3.8002
```